Entry from the Alexandria database: a geometry-optimized Be2CuAu3 structure (GGA-PBE).

Output
- E_tot (eV/cell) = -43.1
- calculated formation energy (meV/atom) = -28
- relative energy among the computed polymorphs (meV per atom) = 84

a = 4.181 Å, b = 4.181 Å, c = 11.346 Å
α = 90.00°, β = 90.00°, γ = 120.00°
Fractional coordinates of all 12 atoms:
Be: 0.333 0.667 0.102
Be: 0.333 0.667 0.398
Be: 0.667 0.333 0.602
Be: 0.667 0.333 0.898
Cu: 0.000 0.000 0.250
Cu: 0.000 0.000 0.750
Au: 0.000 0.000 0.000
Au: 0.000 0.000 0.500
Au: 0.333 0.667 0.629
Au: 0.333 0.667 0.871
Au: 0.667 0.333 0.129
Au: 0.667 0.333 0.371


Entry from the Alexandria database: a geometry-optimized CaPr2Hg8 structure (GGA-PBE).

Output
- E_tot (eV/cell) = -17.9
- calculated formation energy (meV/atom) = -352

a = 8.790 Å, b = 8.790 Å, c = 8.790 Å
α = 145.13°, β = 130.49°, γ = 61.98°
Fractional coordinates of all 11 atoms:
Ca: 0.000 0.000 0.000
Pr: 0.303 0.303 0.000
Pr: 0.697 0.697 0.000
Hg: 0.147 0.857 0.289
Hg: 0.158 0.658 0.500
Hg: 0.291 0.500 0.791
Hg: 0.432 0.143 0.289
Hg: 0.568 0.857 0.711
Hg: 0.709 0.500 0.209
Hg: 0.842 0.342 0.500
Hg: 0.853 0.143 0.711


Entry from the Alexandria database: a geometry-optimized TeRu2Br structure (GGA-PBE).

Output
- E_tot (eV/cell) = -21.3
- formation energy (no corrections) (eV per atom) = 0.520
- relative energy among the computed polymorphs (meV per atom) = 143

a = 8.970 Å, b = 8.970 Å, c = 8.970 Å
α = 160.12°, β = 159.04°, γ = 29.04°
Fractional coordinates of all 4 atoms:
Te: 0.000 0.000 0.000
Ru: 0.584 0.584 0.000
Ru: 0.709 0.209 0.500
Br: 0.288 0.788 0.500


Entry from the Alexandria database: a geometry-optimized ScRe4As structure (GGA-PBE).

Output
- E_tot (eV/cell) = -59.3
- calculated formation energy (meV/atom) = 241

a = 5.264 Å, b = 5.264 Å, c = 5.264 Å
α = 60.00°, β = 60.00°, γ = 60.00°
Fractional coordinates of all 6 atoms:
Sc: 0.000 0.000 0.000
Re: 0.376 0.376 0.376
Re: 0.376 0.376 0.873
Re: 0.376 0.873 0.376
Re: 0.873 0.376 0.376
As: 0.750 0.750 0.750


Entry from the Alexandria database: a geometry-optimized NaTiIn structure (GGA-PBE).

Output
- E_tot (eV/cell) = -23.4
- calculated formation energy (meV/atom) = 84
- relative energy among the computed polymorphs (meV per atom) = 128

a = 3.074 Å, b = 4.933 Å, c = 9.402 Å
α = 90.00°, β = 90.08°, γ = 90.00°
Fractional coordinates of all 6 atoms:
Na: 0.000 0.000 0.000
Na: 0.499 0.500 0.818
Ti: 0.500 0.000 0.565
Ti: 0.999 0.000 0.328
In: 0.498 0.500 0.219
In: 0.999 0.500 0.519